! Pr3Sm4, optimized geometry, DFT PBE-GGA; values from VASP
&SYSTEM
  ibrav = 0, nat = 7, ntyp = 2
/
ATOMIC_SPECIES
Pr 140.91 Pr.upf
Sm 150.36 Sm.upf
ATOMIC_POSITIONS angstrom
Pr 2.771 -2.256 0.880
Pr 0.000 0.000 0.000
Pr 7.306 1.334 3.433
Sm 7.848 -1.733 1.491
Sm 5.112 0.533 0.614
Sm 4.965 -1.454 3.698
Sm 2.229 0.811 2.821
CELL_PARAMETERS angstrom
-0.716 1.079 5.022
3.301 -5.322 -1.064
7.492 3.322 0.354
! **Space group**: No. 12
! **Energy relative to the elements**: 15 meV per atom

=====

! AgMoRh2, optimized geometry, DFT PBE-GGA; values from VASP
&SYSTEM
  ibrav = 0, nat = 8, ntyp = 3
/
ATOMIC_SPECIES
Mo 95.94 Mo.upf
Rh 102.91 Rh.upf
Ag 107.87 Ag.upf
ATOMIC_POSITIONS angstrom
Mo 3.517 3.517 0.000
Mo 3.517 7.033 1.395
Rh 5.010 1.758 0.697
Rh 2.023 5.275 0.697
Rh 5.275 5.540 2.092
Rh 8.792 8.527 2.092
Ag 0.000 0.000 0.000
Ag 7.033 3.517 1.395
CELL_PARAMETERS angstrom
7.033 0.000 0.000
0.000 7.033 0.000
3.517 3.517 2.790
! **Space group**: No. 122
! **Energy relative to the elements**: 457 meV per atom

=====

Number 1: calculated total energy -33.11 eV/cell. Number 2: calculated total energy -53.11 eV/cell.